No. 1
! AgSbTe3 (PBE, relaxed); values from VASP
&SYSTEM
  ibrav = 0, nat = 5, ntyp = 3
/
ATOMIC_SPECIES
Ag 107.87 Ag.upf
Sb 121.76 Sb.upf
Te 127.60 Te.upf
ATOMIC_POSITIONS angstrom
Ag 0.000 0.000 0.000
Sb 2.871 2.871 2.871
Te 0.000 2.871 2.871
Te 2.871 0.000 2.871
Te 2.871 2.871 0.000
CELL_PARAMETERS angstrom
5.741 0.000 0.000
0.000 5.741 0.000
0.000 0.000 5.741
! - energy above the lowest structure with this stoichiometry (meV/atom) = 595
! - volume (A^3/atom) = 37.85
! - energy relative to the elements, uncorrected (eV/atom) = 0.62

No. 2
! AcZn3Ir (PBE, relaxed); values from VASP
&SYSTEM
  ibrav = 0, nat = 10, ntyp = 3
/
ATOMIC_SPECIES
Ac 227.00 Ac.upf
Zn 65.41 Zn.upf
Ir 192.22 Ir.upf
ATOMIC_POSITIONS angstrom
Ac 0.983 1.083 1.409
Ac 4.109 3.248 5.740
Zn -0.423 1.083 4.486
Zn 1.329 3.248 3.838
Zn 0.955 3.248 6.489
Zn 4.137 1.083 0.660
Zn 3.763 1.083 3.312
Zn 5.516 3.248 2.663
Ir 1.985 1.083 5.273
Ir 3.107 3.248 1.876
CELL_PARAMETERS angstrom
6.731 0.000 0.000
0.000 4.330 0.000
-1.639 0.000 7.149
! - energy above the lowest structure with this stoichiometry (meV/atom) = 71
! - volume (A^3/atom) = 20.84
! - calculated formation energy (eV/atom) = -0.31

No. 3
! ZrAl4Si (PBE, relaxed); values from VASP
&SYSTEM
  ibrav = 0, nat = 6, ntyp = 3
/
ATOMIC_SPECIES
Zr 91.22 Zr.upf
Al 26.98 Al.upf
Si 28.09 Si.upf
ATOMIC_POSITIONS angstrom
Zr 0.000 0.000 0.000
Al 2.787 2.787 2.787
Al 4.647 4.647 2.787
Al 4.647 2.787 4.647
Al 2.787 4.647 4.647
Si 5.575 5.575 5.575
CELL_PARAMETERS angstrom
0.000 3.717 3.717
3.717 0.000 3.717
3.717 3.717 0.000
! - energy above the lowest structure with this stoichiometry (meV/atom) = 0
! - volume (A^3/atom) = 17.11
! - energy relative to the elements, uncorrected (eV/atom) = -0.11

No. 4
! Ru2PbSe (PBE, relaxed); values from VASP
&SYSTEM
  ibrav = 0, nat = 4, ntyp = 3
/
ATOMIC_SPECIES
Ru 101.07 Ru.upf
Pb 207.20 Pb.upf
Se 78.96 Se.upf
ATOMIC_POSITIONS angstrom
Ru 0.000 0.000 0.000
Ru 0.000 1.911 2.385
Pb 0.000 0.000 4.533
Se 1.672 0.000 1.755
CELL_PARAMETERS angstrom
-1.672 1.911 5.687
1.672 -1.911 5.687
1.672 1.911 -5.687
! - energy above the lowest structure with this stoichiometry (meV/atom) = 122
! - volume (A^3/atom) = 18.17
! - energy relative to the elements, uncorrected (eV/atom) = 0.35